# CoCuRh2 | the Alexandria database | PBEsol | optimized geometry
# Space-group type: Pmm2 (25)
# V in Å³ per atom: 12.314
# Mass density in g/cm³: 11.1
# Energy above the lowest structure with this stoichiometry in eV per atom: 0.013
# Calculated total energy in eV/atom: -6.97
# ΔH_f (0 K) in eV per atom: 0.115
data_CoCuRh2
_chemical_formula_sum 'Co1 Cu1 Rh2'
_cell_length_a 2.624
_cell_length_b 3.655
_cell_length_c 5.135
_cell_angle_alpha 90.00
_cell_angle_beta 90.00
_cell_angle_gamma 90.00
_symmetry_space_group_name_H-M 'P 1'
_symmetry_Int_Tables_number 1
loop_
_symmetry_equiv_pos_as_xyz
'x,y,z'
loop_
_atom_site_label
_atom_site_fract_x
_atom_site_fract_y
_atom_site_fract_z
Rh1 0.000 0.000 0.994
Rh2 0.500 0.500 0.260
Co1 0.000 0.000 0.501
Cu1 0.500 0.500 0.745